Record 1
AcNdTh2: optimized geometry, PBE.

Unit cell a=12.285 b=12.285 c=12.285 alpha=17.25 beta=17.25 gamma=17.25
Fractional positions:
Ac1 0.000 0.000 0.000
Nd1 0.169 0.169 0.169
Th1 0.582 0.582 0.582
Th2 0.753 0.753 0.753

Output
As for the crystal system: trigonal.



Record 2
AcNdTh2: optimized geometry, PBE.

Unit cell a=13.064 b=13.064 c=13.064 alpha=15.88 beta=15.88 gamma=15.88
Fractional positions:
Ac1 0.000 0.000 0.000
Nd1 0.500 0.500 0.500
Th1 0.090 0.090 0.090
Th2 0.910 0.910 0.910

Output
As for the crystal system: trigonal.



Calculated calculated total energy in order - -5.8081; -5.6564 eV/atom
Calculated polymorph energy (0 for the lowest one) in order - 0.000; 0.152 eV per atom